Record 1
Below is a relaxed Li4Mg3Ga4 crystal, with properties calculated at the GGA-PBE level.

Unit cell a=3.0167 b=4.3675 c=15.0311 alpha=81.67 beta=88.69 gamma=89.95
With the nearest neighbours (Å) after each atom.
Space group P-1 (No. 2)
Asymmetric unit:
Li: 0.1511 0.0936 0.3143  3 Ga 2.72-2.86, 3 Mg 2.79-3.02, 2 Li 3.02
Li: 0.2507 0.7371 0.0255  4 Ga 2.70-2.79, 6 Li 2.75-3.02
Mg: 0.0000 0.0000 0.5000  2 Li 2.79, 8 Ga 2.94-3.08, 2 Mg 3.02
Mg: 0.2865 0.3531 0.7926  5 Ga 2.87-2.97, 2 Mg 3.02, 6 Li 3.02-3.17
Ga: 0.2291 0.1843 0.1320  5 Li 2.70-2.79, 4 Mg 2.87-2.89, 2 Ga 3.02
Ga: 0.4462 0.4516 0.5948  3 Ga 2.83-3.02, 4 Li 2.85-3.12, 5 Mg 2.94-3.08

Calculated values
**Spin magnetization**: 0.00 μB/f.u.
**DFT formation energy**: -2.22 eV/f.u.
**Final energy**: -0.1789 Ry/atom

***

Record 2
Below is a relaxed Li5Mg3Ga2 crystal, with properties calculated at the GGA-PBE level.

Unit cell a=7.2133 b=19.1354 c=5.6349 alpha=90.00 beta=90.00 gamma=90.00
With the nearest neighbours (Å) after each atom.
Space group Ibam (No. 72)
Asymmetric unit:
Li: 0.0000 0.0000 0.2500  4 Ga 2.75, 2 Li 2.82, 4 Mg 2.91
Li: 0.0000 0.3465 0.2500  2 Ga 2.70, 4 Li 2.82-3.01, 3 Mg 2.94-2.97
Li: 0.1801 0.2254 0.0000  1 Ga 2.72, 4 Li 3.01-3.03
Mg: 0.0000 0.5000 0.2500  2 Mg 2.82, 4 Ga 2.87, 2 Li 2.94
Mg: 0.1481 0.1210 0.5000  3 Ga 2.86-2.97, 6 Li 2.91-3.19
Ga: 0.2369 0.0851 0.0000  5 Li 2.70-2.75, 5 Mg 2.86-2.97

Calculated values
**Spin magnetization**: 0.00 μB/f.u.
**DFT formation energy**: -1.16 eV/f.u.
**Final energy**: -0.1585 Ry/atom

***

Record 3
Below is a relaxed Li2MgGa2 crystal, with properties calculated at the GGA-PBE level.

Unit cell a=7.6824 b=7.6824 c=2.8913 alpha=90.00 beta=90.00 gamma=90.00
With the nearest neighbours (Å) after each atom.
Space group P4/mbm (No. 127)
Asymmetric unit:
Li: 0.1187 0.3813 0.0000  1 Li 2.58, 6 Ga 2.66-2.72
Mg: 0.0000 0.0000 0.0000  2 Mg 2.89, 4 Li 3.07, 8 Ga 3.18
Ga: 0.1761 0.6761 0.5000  6 Li 2.66-2.72, 2 Ga 2.89

Calculated values
**Spin magnetization**: 0.00 μB/f.u.
**Offset from the most stable computed form**: 0.821 kcal/mol of atoms
**DFT formation energy**: -0.93 eV/f.u.
**Final energy**: -0.1824 Ry/atom

***

Record 4
Below is a relaxed LiMg6Ga crystal, with properties calculated at the GGA-PBE level.

Unit cell a=5.0863 b=6.2121 c=10.7472 alpha=90.00 beta=90.00 gamma=90.00
With the nearest neighbours (Å) after each atom.
Space group Amm2 (No. 38)
Asymmetric unit:
Li: 0.0000 0.0000 0.0000  10 Mg 3.09-3.12, 2 Ga 3.11
Mg: 0.0000 0.2490 0.7513  2 Li 3.09-3.12, 8 Mg 3.09-3.13, 2 Ga 3.10-3.11
Mg: 0.5000 0.0000 0.3348  10 Mg 3.07-3.13, 2 Ga 3.11
Mg: 0.5000 0.0000 0.8345  10 Mg 3.08-3.13, 2 Li 3.10
Mg: 0.5000 0.2504 0.0818  8 Mg 3.07-3.13, 2 Ga 3.10, 2 Li 3.11
Ga: 0.0000 0.0000 0.5015  10 Mg 3.10-3.11, 2 Li 3.11

Calculated values
**Spin magnetization**: 0.00 μB/f.u.
**Offset from the most stable computed form**: 0.041 kcal/mol of atoms
**DFT formation energy**: -0.46 eV/f.u.
**Final energy**: -0.1375 Ry/atom

***

Record 5
Below is a relaxed Li2MgGa10 crystal, with properties calculated at the GGA-PBE level.

Unit cell a=5.1452 b=6.4251 c=14.9620 alpha=90.00 beta=100.55 gamma=90.00
With the nearest neighbours (Å) after each atom.
Space group P2_1/c (No. 14)
Asymmetric unit:
Li: 0.2336 0.1179 0.3594  11 Ga 2.90-3.16
Mg: 0.0000 0.0000 0.0000  8 Ga 2.86-2.94
Ga: 0.0856 0.6438 0.3222  5 Ga 2.60-2.86
Ga: 0.2350 0.5373 0.0428  5 Ga 2.57-2.76
Ga: 0.2678 0.6581 0.6740  4 Ga 2.56-2.86
Ga: 0.3077 0.0974 0.7104  4 Ga 2.56-2.68
Ga: 0.4840 0.6815 0.4554  4 Ga 2.60-2.70, 1 Mg 2.86

Calculated values
**Spin magnetization**: 0.00 μB/f.u.
**DFT formation energy**: -1.57 eV/f.u.
**Final energy**: -0.2107 Ry/atom

***

Record 6
Below is a relaxed LiMg6Ga3 crystal, with properties calculated at the GGA-PBE level.

Unit cell a=10.0517 b=14.2107 c=5.9271 alpha=90.00 beta=90.00 gamma=90.00
With the nearest neighbours (Å) after each atom.
Space group Cmc2_1 (No. 36)
Asymmetric unit:
Li: 0.0000 0.2357 0.0000  3 Ga 2.67-2.87, 3 Mg 2.91-2.92
Mg: 0.0000 0.0567 0.7092  4 Ga 2.94-3.05, 1 Li 3.07, 2 Mg 3.21
Mg: 0.0000 0.2787 0.5196  3 Ga 2.76-2.96, 1 Li 2.91, 2 Mg 3.03
Mg: 0.2051 0.4845 0.4936  4 Ga 2.76-2.85, 3 Mg 3.00-3.09
Mg: 0.2455 0.3065 0.2032  3 Ga 2.86-2.95, 2 Li 2.92-3.16, 3 Mg 3.03-3.12
Ga: 0.0000 0.4194 0.1997  7 Mg 2.76-2.94, 1 Li 2.87
Ga: 0.1363 0.1237 0.2786  1 Li 2.67, 1 Ga 2.74, 6 Mg 2.79-2.96

Calculated values
**Spin magnetization**: 0.00 μB/f.u.
**DFT formation energy**: -0.73 eV/f.u.
**Final energy**: -0.1565 Ry/atom

***

Number 4 is which compound? LiMg6Ga

***

Look up the spin magnetization of the second one. 0.00 μB/f.u.

***

What did the fifth record say?
Below is a relaxed Li2MgGa10 crystal, with properties calculated at the GGA-PBE level.

Unit cell a=5.1452 b=6.4251 c=14.9620 alpha=90.00 beta=100.55 gamma=90.00
With the nearest neighbours (Å) after each atom.
Space group P2_1/c (No. 14)
Asymmetric unit:
Li: 0.2336 0.1179 0.3594  11 Ga 2.90-3.16
Mg: 0.0000 0.0000 0.0000  8 Ga 2.86-2.94
Ga: 0.0856 0.6438 0.3222  5 Ga 2.60-2.86
Ga: 0.2350 0.5373 0.0428  5 Ga 2.57-2.76
Ga: 0.2678 0.6581 0.6740  4 Ga 2.56-2.86
Ga: 0.3077 0.0974 0.7104  4 Ga 2.56-2.68
Ga: 0.4840 0.6815 0.4554  4 Ga 2.60-2.70, 1 Mg 2.86

Calculated values
**Spin magnetization**: 0.00 μB/f.u.
**DFT formation energy**: -1.57 eV/f.u.
**Final energy**: -0.2107 Ry/atom